1.
{"formula": "La3CeSm8", "functional": "PBE", "state": "relaxed", "formation_energy_ev_per_atom": 0.521, "cell": [[-4.429, 4.429, 5.714], [4.429, -4.429, 5.714], [4.429, 4.429, -5.714]], "species": ["La", "La", "La", "Ce", "Sm", "Sm", "Sm", "Sm", "Sm", "Sm", "Sm", "Sm"], "fractional_positions": [[0.000, 0.000, 0.000], [0.250, 0.750, 0.500], [0.750, 0.250, 0.500], [0.500, 0.500, 0.000], [0.140, 0.140, 0.758], [0.241, 0.712, 0.000], [0.288, 0.288, 0.529], [0.382, 0.382, 0.242], [0.618, 0.860, 0.000], [0.712, 0.241, 0.000], [0.759, 0.759, 0.471], [0.860, 0.618, 0.000]]}

=====

2.
{"formula": "La4CeSm3", "functional": "PBE", "state": "relaxed", "formation_energy_ev_per_atom": 0.217, "cell": [[12.870, -1.739, 0.000], [12.870, 1.739, 0.000], [-0.709, 0.000, 6.180]], "species": ["La", "La", "La", "La", "Ce", "Sm", "Sm", "Sm"], "fractional_positions": [[0.100, 0.100, 0.209], [0.280, 0.280, 0.765], [0.720, 0.720, 0.235], [0.900, 0.900, 0.791], [0.500, 0.500, 0.000], [0.000, 0.000, 0.500], [0.143, 0.143, 0.726], [0.857, 0.857, 0.274]]}

=====

3.
{"formula": "LaCeSm", "functional": "PBE", "state": "relaxed", "polymorph_energy_ev_per_atom": 0.058, "formation_energy_ev_per_atom": 0.121, "cell": [[5.725, 0.000, 0.000], [-2.863, 4.958, 0.000], [0.000, 0.000, 3.490]], "species": ["La", "Ce", "Sm"], "fractional_positions": [[0.000, 0.000, 0.000], [0.333, 0.667, 0.000], [0.667, 0.333, 0.500]]}

=====

4.
{"formula": "La8Ce2Sm", "functional": "PBE", "state": "relaxed", "formation_energy_ev_per_atom": 0.139, "cell": [[-2.848, 4.203, 8.159], [2.848, -4.203, 8.159], [2.848, 4.203, -8.159]], "species": ["La", "La", "La", "La", "La", "La", "La", "La", "Ce", "Ce", "Sm"], "fractional_positions": [[0.157, 0.157, 0.000], [0.157, 0.359, 0.798], [0.299, 0.000, 0.299], [0.439, 0.641, 0.798], [0.561, 0.359, 0.202], [0.701, 0.000, 0.701], [0.843, 0.641, 0.202], [0.843, 0.843, 0.000], [0.300, 0.800, 0.500], [0.700, 0.200, 0.500], [0.000, 0.500, 0.500]]}

=====

5.
{"formula": "LaCe2Sm", "functional": "PBE", "state": "relaxed", "polymorph_energy_ev_per_atom": 0.000, "formation_energy_ev_per_atom": 0.113, "cell": [[3.496, 0.000, 0.000], [0.000, 3.496, 0.000], [0.000, 0.000, 10.209]], "species": ["La", "Ce", "Ce", "Sm"], "fractional_positions": [[0.000, 0.000, 0.000], [0.500, 0.500, 0.248], [0.500, 0.500, 0.752], [0.000, 0.000, 0.500]]}

=====

6.
{"formula": "La12CeSm6", "functional": "PBE", "state": "relaxed", "formation_energy_ev_per_atom": 0.032, "cell": [[8.052, 4.649, 3.017], [-8.052, 4.649, 3.017], [0.000, -9.298, 3.017]], "species": ["La", "La", "La", "La", "La", "La", "La", "La", "La", "La", "La", "La", "Ce", "Sm", "Sm", "Sm", "Sm", "Sm", "Sm"], "fractional_positions": [[0.057, 0.580, 0.371], [0.103, 0.155, 0.740], [0.155, 0.740, 0.103], [0.260, 0.897, 0.845], [0.371, 0.057, 0.580], [0.420, 0.629, 0.943], [0.580, 0.371, 0.057], [0.629, 0.943, 0.420], [0.740, 0.103, 0.155], [0.845, 0.260, 0.897], [0.897, 0.845, 0.260], [0.943, 0.420, 0.629], [0.000, 0.000, 0.000], [0.211, 0.315, 0.469], [0.315, 0.469, 0.211], [0.469, 0.211, 0.315], [0.531, 0.789, 0.685], [0.685, 0.531, 0.789], [0.789, 0.685, 0.531]]}

=====

7.
{"formula": "LaCeSm4", "functional": "PBE", "state": "relaxed", "formation_energy_ev_per_atom": 0.662, "cell": [[4.585, 0.000, 0.000], [0.000, 4.585, 0.000], [0.000, 0.000, 11.229]], "species": ["La", "Ce", "Sm", "Sm", "Sm", "Sm"], "fractional_positions": [[0.000, 0.000, 0.000], [0.500, 0.500, 0.500], [0.000, 0.500, 0.257], [0.000, 0.500, 0.743], [0.500, 0.000, 0.257], [0.500, 0.000, 0.743]]}

=====

8.
{"formula": "LaCeSmSn", "functional": "PBE", "state": "relaxed", "formation_energy_ev_per_atom": -0.218, "cell": [[0.000, 3.909, 3.909], [3.909, 0.000, 3.909], [3.909, 3.909, 0.000]], "species": ["La", "Ce", "Sm", "Sn"], "fractional_positions": [[0.000, 0.000, 0.000], [0.250, 0.250, 0.250], [0.500, 0.500, 0.500], [0.750, 0.750, 0.750]]}

=====

9.
{"formula": "La2Tb6CeSm3", "functional": "PBE", "state": "relaxed", "formation_energy_ev_per_atom": 0.035, "cell": [[3.130, -5.425, 0.000], [3.130, 5.425, 0.000], [-2.089, 0.000, 11.694]], "species": ["La", "La", "Tb", "Tb", "Tb", "Tb", "Tb", "Tb", "Ce", "Sm", "Sm", "Sm"], "fractional_positions": [[0.166, 0.834, 0.000], [0.834, 0.166, 0.000], [0.086, 0.417, 0.749], [0.253, 0.253, 0.251], [0.417, 0.086, 0.749], [0.583, 0.914, 0.251], [0.747, 0.747, 0.749], [0.914, 0.583, 0.251], [0.500, 0.500, 0.000], [0.000, 0.000, 0.500], [0.333, 0.667, 0.500], [0.667, 0.333, 0.500]]}

=====

10.
{"formula": "La2TbCeSm2", "functional": "PBE", "state": "relaxed", "formation_energy_ev_per_atom": 0.264, "cell": [[6.681, 0.000, 0.000], [0.000, 18.145, 0.000], [0.000, 0.000, 3.426]], "species": ["La", "La", "La", "La", "Tb", "Tb", "Ce", "Ce", "Sm", "Sm", "Sm", "Sm"], "fractional_positions": [[0.217, 0.183, 0.000], [0.283, 0.683, 0.500], [0.717, 0.317, 0.500], [0.783, 0.817, 0.000], [0.000, 0.000, 0.000], [0.500, 0.500, 0.500], [0.000, 0.500, 0.000], [0.500, 0.000, 0.500], [0.209, 0.357, 0.500], [0.291, 0.857, 0.000], [0.709, 0.143, 0.000], [0.791, 0.643, 0.500]]}

=====

11.
{"formula": "LaTb5CeSm2", "functional": "PBE", "state": "relaxed", "formation_energy_ev_per_atom": 0.264, "cell": [[-4.350, 4.350, 7.857], [4.350, -4.350, 7.857], [4.350, 4.350, -7.857]], "species": ["La", "La", "Tb", "Tb", "Tb", "Tb", "Tb", "Tb", "Tb", "Tb", "Tb", "Tb", "Ce", "Ce", "Sm", "Sm", "Sm", "Sm"], "fractional_positions": [[0.250, 0.250, 0.000], [0.750, 0.750, 0.000], [0.000, 0.000, 0.000], [0.062, 0.562, 0.899], [0.163, 0.062, 0.500], [0.337, 0.837, 0.899], [0.438, 0.337, 0.500], [0.500, 0.500, 0.000], [0.562, 0.663, 0.500], [0.663, 0.163, 0.101], [0.837, 0.938, 0.500], [0.938, 0.438, 0.101], [0.250, 0.750, 0.500], [0.750, 0.250, 0.500], [0.121, 0.379, 0.500], [0.379, 0.879, 0.258], [0.621, 0.121, 0.742], [0.879, 0.621, 0.500]]}

=====

12.
{"formula": "LaTb2CeSm", "functional": "PBE", "state": "relaxed", "formation_energy_ev_per_atom": 0.275, "cell": [[8.547, 0.000, 0.000], [0.000, 6.383, 0.000], [-0.764, 0.000, 6.149]], "species": ["La", "La", "Tb", "Tb", "Tb", "Tb", "Ce", "Ce", "Sm", "Sm"], "fractional_positions": [[0.000, 0.000, 0.000], [0.000, 0.000, 0.500], [0.310, 0.322, 0.212], [0.310, 0.678, 0.712], [0.690, 0.322, 0.288], [0.690, 0.678, 0.788], [0.000, 0.456, 0.750], [0.000, 0.544, 0.250], [0.500, 0.168, 0.750], [0.500, 0.832, 0.250]]}